[1]
## PrNd5Sb5 (GGA-PBE)

Data for a relaxed PrNd5Sb5 crystal.

Geometry as POSCAR:
```
PrNd5Sb5
1.0
7.088 -3.182 0.000
7.088 3.182 0.000
-2.837 0.000 8.525
Pr Nd Sb
1 5 5
direct
0.000 0.000 0.000
0.000 0.000 0.500
0.332 0.332 0.667
0.333 0.333 0.165
0.667 0.667 0.835
0.668 0.668 0.333
0.167 0.167 0.337
0.168 0.168 0.831
0.500 0.500 0.000
0.832 0.832 0.169
0.833 0.833 0.663
```

Summary:
* formation energy without anion corrections: -1.006 eV/atom
* density: 6352 kg/m³
* DFT total energy: -5.48 eV/atom
* total magnetization: 0.0 μB/f.u.

---

[2]
## PrNd3Sb3 (GGA-PBE)

Data for a relaxed PrNd3Sb3 crystal.

Geometry as POSCAR:
```
PrNd3Sb3
1.0
9.537 0.000 0.000
0.000 9.537 0.000
0.000 0.000 9.537
Pr Nd Sb
4 12 12
direct
0.070 0.430 0.570
0.430 0.570 0.070
0.570 0.070 0.430
0.930 0.930 0.930
0.071 0.571 0.929
0.180 0.180 0.180
0.180 0.820 0.320
0.320 0.180 0.820
0.320 0.820 0.680
0.429 0.429 0.429
0.571 0.929 0.071
0.680 0.320 0.820
0.680 0.680 0.680
0.820 0.320 0.180
0.820 0.680 0.320
0.929 0.071 0.571
0.000 0.251 0.876
0.000 0.751 0.624
0.124 0.500 0.249
0.249 0.124 0.500
0.251 0.876 0.000
0.376 0.500 0.749
0.500 0.249 0.124
0.500 0.749 0.376
0.624 0.000 0.751
0.749 0.376 0.500
0.751 0.624 0.000
0.876 0.000 0.251
```

Summary:
* formation energy without anion corrections: -1.064 eV/atom
* density: 7189 kg/m³
* DFT total energy: -5.56 eV/atom
* total magnetization: 0.0 μB/f.u.

---

[3]
## Pr2NdSb3 (GGA-PBE)

Data for a relaxed Pr2NdSb3 crystal.

Geometry as POSCAR:
```
Pr2NdSb3
1.0
4.551 0.000 0.000
0.000 6.425 0.000
0.000 0.000 13.637
Pr Nd Sb
4 2 6
direct
0.000 0.000 0.167
0.000 0.000 0.833
0.500 0.500 0.333
0.500 0.500 0.667
0.000 0.000 0.500
0.500 0.500 0.000
0.000 0.500 0.166
0.000 0.500 0.500
0.000 0.500 0.834
0.500 0.000 0.000
0.500 0.000 0.334
0.500 0.000 0.666
```

Summary:
* formation energy without anion corrections: -1.192 eV/atom
* density: 6591 kg/m³
* DFT total energy: -5.64 eV/atom
* total magnetization: 0.0 μB/f.u.

---

[4]
## Pr2Nd3Sb3 (GGA-PBE)

Data for a relaxed Pr2Nd3Sb3 crystal.

Geometry as POSCAR:
```
Pr2Nd3Sb3
1.0
9.384 0.000 0.000
-4.692 8.126 0.000
0.000 0.000 6.544
Pr Nd Sb
4 6 6
direct
0.333 0.667 0.000
0.333 0.667 0.500
0.667 0.333 0.000
0.667 0.333 0.500
0.000 0.251 0.250
0.000 0.749 0.750
0.251 0.000 0.250
0.251 0.251 0.750
0.749 0.000 0.750
0.749 0.749 0.250
0.000 0.385 0.750
0.000 0.615 0.250
0.385 0.000 0.750
0.385 0.385 0.250
0.615 0.000 0.250
0.615 0.615 0.750
```

Summary:
* formation energy without anion corrections: -0.967 eV/atom
* density: 7186 kg/m³
* DFT total energy: -5.50 eV/atom
* total magnetization: 0.6 μB/f.u.

---

[5]
## PrNdSb (GGA-PBE)

Data for a relaxed PrNdSb crystal.

Geometry as POSCAR:
```
PrNdSb
1.0
4.203 0.000 0.000
0.000 4.203 0.000
0.000 0.000 10.218
Pr Nd Sb
2 2 2
direct
0.000 0.000 0.000
0.500 0.500 0.500
0.000 0.000 0.695
0.500 0.500 0.195
0.000 0.000 0.346
0.500 0.500 0.846
```

Summary:
* formation energy without anion corrections: -0.690 eV/atom
* density: 7486 kg/m³
* DFT total energy: -5.25 eV/atom
* total magnetization: 0.0 μB/f.u.

---

[6]
## PrNdSb (GGA-PBE)

Data for a relaxed PrNdSb crystal.

Geometry as POSCAR:
```
PrNdSb
1.0
7.452 0.000 0.000
0.000 7.452 0.000
0.000 0.000 7.452
Pr Nd Sb
4 4 4
direct
0.000 0.000 0.000
0.000 0.500 0.500
0.500 0.000 0.500
0.500 0.500 0.000
0.000 0.000 0.500
0.000 0.500 0.000
0.500 0.000 0.000
0.500 0.500 0.500
0.250 0.250 0.750
0.250 0.750 0.250
0.750 0.250 0.250
0.750 0.750 0.750
```

Summary:
* formation energy without anion corrections: -0.664 eV/atom
* density: 6532 kg/m³
* DFT total energy: -5.22 eV/atom
* total magnetization: 0.0 μB/f.u.

---

[7]
## Pr2NdSb (GGA-PBE)

Data for a relaxed Pr2NdSb crystal.

Geometry as POSCAR:
```
Pr2NdSb
1.0
4.235 0.000 0.000
-2.117 3.667 0.000
0.000 0.000 27.715
Pr Nd Sb
6 3 3
direct
0.000 0.000 0.000
0.000 0.000 0.195
0.333 0.667 0.667
0.333 0.667 0.861
0.667 0.333 0.333
0.667 0.333 0.528
0.000 0.000 0.764
0.333 0.667 0.430
0.667 0.333 0.097
0.000 0.000 0.598
0.333 0.667 0.264
0.667 0.333 0.931
```

Summary:
* formation energy without anion corrections: -0.357 eV/atom
* density: 6340 kg/m³
* DFT total energy: -4.97 eV/atom
* total magnetization: 0.0 μB/f.u.

---

[8]
## PrNd2ScSb4 (GGA-PBE)

Data for a relaxed PrNd2ScSb4 crystal.

Geometry as POSCAR:
```
PrNd2ScSb4
1.0
7.705 0.000 0.000
0.000 4.458 0.000
-2.575 0.000 7.266
Pr Nd Sc Sb
1 2 1 4
direct
0.000 0.000 0.000
0.000 0.500 0.500
0.500 0.000 0.500
0.500 0.500 0.000
0.259 0.500 0.244
0.266 0.000 0.765
0.734 0.000 0.235
0.741 0.500 0.756
```

Summary:
* formation energy without anion corrections: -1.094 eV/atom
* density: 6397 kg/m³
* DFT total energy: -5.74 eV/atom
* total magnetization: 0.0 μB/f.u.

---

[9]
## PrNdSbSe (GGA-PBE)

Data for a relaxed PrNdSbSe crystal.

Geometry as POSCAR:
```
PrNdSbSe
1.0
4.413 0.000 0.000
0.000 4.413 0.000
0.000 0.000 6.230
Pr Nd Sb Se
1 1 1 1
direct
0.000 0.000 0.000
0.500 0.500 0.500
0.500 0.500 0.000
0.000 0.000 0.500
```

Summary:
* formation energy without anion corrections: -1.507 eV/atom
* density: 6650 kg/m³
* DFT total energy: -5.80 eV/atom
* total magnetization: 0.0 μB/f.u.

---

[10]
## PrNd2SmSb4 (GGA-PBE)

Data for a relaxed PrNd2SmSb4 crystal.

Geometry as POSCAR:
```
PrNd2SmSb4
1.0
7.827 0.000 0.000
0.000 4.522 0.000
-2.609 0.000 7.380
Pr Nd Sm Sb
1 2 1 4
direct
0.000 0.000 0.000
0.000 0.500 0.500
0.500 0.000 0.500
0.500 0.500 0.000
0.252 0.500 0.250
0.253 0.000 0.752
0.747 0.000 0.248
0.748 0.500 0.750
```

Summary:
* formation energy without anion corrections: -1.186 eV/atom
* density: 6781 kg/m³
* DFT total energy: -5.63 eV/atom
* total magnetization: 0.0 μB/f.u.

---

[11]
## Tb2PrNdSb4 (GGA-PBE)

Data for a relaxed Tb2PrNdSb4 crystal.

Geometry as POSCAR:
```
Tb2PrNdSb4
1.0
7.742 0.000 0.000
0.000 4.476 0.000
-2.585 0.000 7.303
Tb Pr Nd Sb
2 1 1 4
direct
0.000 0.000 0.000
0.000 0.500 0.500
0.500 0.000 0.500
0.500 0.500 0.000
0.241 0.000 0.748
0.241 0.500 0.246
0.759 0.000 0.252
0.759 0.500 0.754
```

Summary:
* formation energy without anion corrections: -1.167 eV/atom
* density: 7153 kg/m³
* DFT total energy: -5.58 eV/atom
* total magnetization: 0.0 μB/f.u.

---

[12]
## TbPr2NdSb4 (GGA-PBE)

Data for a relaxed TbPr2NdSb4 crystal.

Geometry as POSCAR:
```
TbPr2NdSb4
1.0
7.812 0.000 0.000
0.000 4.514 0.000
-2.605 0.000 7.366
Tb Pr Nd Sb
1 2 1 4
direct
0.000 0.000 0.000
0.500 0.000 0.500
0.500 0.500 0.000
0.000 0.500 0.500
0.243 0.500 0.244
0.245 0.000 0.752
0.755 0.000 0.248
0.757 0.500 0.756
```

Summary:
* formation energy without anion corrections: -1.177 eV/atom
* density: 6853 kg/m³
* DFT total energy: -5.61 eV/atom
* total magnetization: 0.0 μB/f.u.

---

Calculated V (Å³ per cell), listed in the same order as above: 384.5 867.5 398.8 499.0 180.5 413.8 430.4 249.6 121.3 261.2 253.1 259.8